1.
First-principles (PBEsol) data for a geometry-optimized HfIn2Co structure, as listed in Alexandria.

Cell and atoms, written as extended XYZ:
```
16
Lattice="6.589 0.000 0.000 0.000 6.589 0.000 0.000 0.000 6.589" Properties=species:S:1:pos:R:3 pbc="T T T"
Hf 0.000 0.000 0.000
Hf 0.000 3.295 3.295
Hf 3.295 0.000 3.295
Hf 3.295 3.295 0.000
In 1.647 1.647 1.647
In 1.647 1.647 4.942
In 1.647 4.942 1.647
In 1.647 4.942 4.942
In 4.942 1.647 1.647
In 4.942 1.647 4.942
In 4.942 4.942 1.647
In 4.942 4.942 4.942
Co 0.000 0.000 3.295
Co 0.000 3.295 0.000
Co 3.295 0.000 0.000
Co 3.295 3.295 3.295
```

volume	71.5	Å³/f.u.
total DFT energy (no corrections)	-5.902	eV per atom
SG	Fm-3m

2.
First-principles (PBEsol) data for a geometry-optimized HfIn2CoTc structure, as listed in Alexandria.

Cell and atoms, written as extended XYZ:
```
5
Lattice="5.060 0.000 0.000 0.000 5.060 0.000 0.000 0.000 4.742" Properties=species:S:1:pos:R:3 pbc="T T T"
Hf 0.000 0.000 0.000
In 0.000 2.530 2.371
In 2.530 0.000 2.371
Co 2.530 2.530 0.000
Tc 0.000 0.000 2.371
```

volume	121.4	Å³/f.u.
total DFT energy (no corrections)	-6.065	eV per atom
SG	P4/mmm

total DFT energy (no corrections) of number 2 (HfIn2CoTc)? -6.065 eV per atom

Please write out number 1 again, unchanged.
First-principles (PBEsol) data for a geometry-optimized HfIn2Co structure, as listed in Alexandria.

Cell and atoms, written as extended XYZ:
```
16
Lattice="6.589 0.000 0.000 0.000 6.589 0.000 0.000 0.000 6.589" Properties=species:S:1:pos:R:3 pbc="T T T"
Hf 0.000 0.000 0.000
Hf 0.000 3.295 3.295
Hf 3.295 0.000 3.295
Hf 3.295 3.295 0.000
In 1.647 1.647 1.647
In 1.647 1.647 4.942
In 1.647 4.942 1.647
In 1.647 4.942 4.942
In 4.942 1.647 1.647
In 4.942 1.647 4.942
In 4.942 4.942 1.647
In 4.942 4.942 4.942
Co 0.000 0.000 3.295
Co 0.000 3.295 0.000
Co 3.295 0.000 0.000
Co 3.295 3.295 3.295
```

volume	71.5	Å³/f.u.
total DFT energy (no corrections)	-5.902	eV per atom
SG	Fm-3m

What is the total DFT energy (no corrections) in the first record? -5.902 eV per atom